1.
# CoTeP2Cl

Crystalline CoTeP2Cl at its relaxed geometry (GGA-PBEsol, the Alexandria database).

The total DFT energy (no corrections) comes out at -4.719 eV/atom. Its crystal system is tetragonal. The calculation puts the formation energy (no corrections) at 251 meV per atom.

It has space group P4/mmm (No. 123), with a = 4.442 Å, b = 4.442 Å, c = 4.433 Å, α = 90.00°, β = 90.00° and γ = 90.00°. The inequivalent atoms are Co at (0.000, 0.000, 0.000), Te at (0.500, 0.500, 0.500), P at (0.000, 0.500, 0.000) and Cl at (0.000, 0.000, 0.500).

---

2.
# Co2PbCl

Crystalline Co2PbCl at its relaxed geometry (GGA-PBEsol, the Alexandria database).

The total DFT energy (no corrections) comes out at -4.893 eV/atom. Its crystal system is trigonal. The calculation puts the formation energy (no corrections) at 478 meV per atom.

It has space group R-3m (No. 166, hexagonal axes), with a = 3.1877 Å, b = 3.1877 Å, c = 21.6826 Å, α = 90.00°, β = 90.00° and γ = 120.00°. The inequivalent atoms are Co at (0.0000, 0.0000, 0.2414), Pb at (0.0000, 0.0000, 0.0000) and Cl at (0.0000, 0.0000, 0.5000).

---

formation energy (no corrections) of number 1 (CoTeP2Cl)? 251 meV per atom